1.
Compound: MgTa
Source: Alexandria
Functional: GGA-PBE
Structure: optimized geometry

The formation energy is 0.416 eV per atom. The value obtained for the density of states at the Fermi level is 2.20 states/eV/f.u.

Unit cell a=5.2104 b=5.2104 c=5.2104 alpha=132.50 beta=132.50 gamma=69.44
Fractional coordinates of all 4 atoms:
Mg  0.0000  0.0000  0.0000
Mg  0.2500  0.7500  0.5000
Ta  0.5000  0.5000  0.0000
Ta  0.7500  0.2500  0.5000

2.
Compound: Mg2Ta
Source: Alexandria
Functional: GGA-PBE
Structure: optimized geometry

As for the relative energy among the computed polymorphs: 299.6 meV per atom. The formation energy is 0.503 eV per atom. The value obtained for the density of states at the Fermi level is 2.23 states/eV/f.u.

Unit cell a=5.4371 b=5.4371 c=5.4371 alpha=60.00 beta=60.00 gamma=60.00
Fractional coordinates of all 6 atoms:
Mg  0.6250  0.1250  0.1250
Mg  0.1250  0.6250  0.1250
Mg  0.1250  0.1250  0.6250
Mg  0.1250  0.1250  0.1250
Ta  0.5000  0.5000  0.5000
Ta  0.7500  0.7500  0.7500